[1]
KLi2SCl | GGA-PBE | relaxed

abc: 7.2150 4.2323 8.2800
angles: 90.00 108.74 90.00
Last column: nearest neighbours and their distance in Å.
Atoms (fractional coordinates):
K 0.0530 0.2500 0.3012  3 S 3.12-3.18, 1 Li 3.28, 1 Cl 3.36
K 0.9470 0.7500 0.6988  3 S 3.12-3.18, 1 Li 3.28, 1 Cl 3.36
Li 0.4778 0.2500 0.6035  3 S 2.42, 1 Cl 2.64
Li 0.4863 0.7500 0.8571  1 S 2.33, 3 Cl 2.43-2.51
Li 0.5137 0.2500 0.1429  1 S 2.33, 3 Cl 2.43-2.51
Li 0.5222 0.7500 0.3965  3 S 2.42, 1 Cl 2.64
S 0.3073 0.7500 0.5680  4 Li 2.33-2.42
S 0.6927 0.2500 0.4320  4 Li 2.33-2.42
Cl 0.3179 0.7500 0.0691  4 Li 2.43-2.64
Cl 0.6821 0.2500 0.9309  4 Li 2.43-2.64

Space-group type ... No. 11
Raw total energy ... -36.574 eV for the cell shown



[2]
KLiSCl2 | GGA-PBE | relaxed

abc: 5.8800 5.8800 5.7575
angles: 90.00 90.00 90.00
Last column: nearest neighbours and their distance in Å.
Atoms (fractional coordinates):
K 0.0000 0.0000 0.0000  2 S 2.88, 4 Cl 2.94
Li 0.5000 0.5000 0.5000  8 Cl 4.11, 4 S 4.16
S 0.0000 0.0000 0.5000  2 K 2.88
Cl 0.0000 0.5000 0.0000  2 K 2.94
Cl 0.5000 0.0000 0.0000  2 K 2.94

Space-group type ... No. 123
ΔE to the lowest computed polymorph ... 553 meV per atom



[3]
KLiSb2Cl8 | GGA-PBE | relaxed

abc: 6.5359 6.8598 8.8951
angles: 87.76 87.98 80.34
Last column: nearest neighbours and their distance in Å.
Atoms (fractional coordinates):
K 0.0000 0.0000 0.0000  6 Cl 3.09-3.34
Li 0.0000 0.0000 0.5000  4 Cl 2.51-2.60
Sb 0.4823 0.4830 0.7337  4 Cl 2.43-2.65
Sb 0.5177 0.5170 0.2663  4 Cl 2.43-2.65
Cl 0.1859 0.7974 0.7106  1 Li 2.51, 1 Sb 2.65
Cl 0.2443 0.8420 0.2843  1 Li 2.60, 1 Sb 2.62
Cl 0.2935 0.3436 0.5453  1 Sb 2.43
Cl 0.2998 0.3484 0.9504  1 Sb 2.46
Cl 0.7002 0.6516 0.0496  1 Sb 2.46
Cl 0.7065 0.6564 0.4547  1 Sb 2.43
Cl 0.7557 0.1580 0.7157  1 Li 2.60, 1 Sb 2.62
Cl 0.8141 0.2026 0.2894  1 Li 2.51, 1 Sb 2.65

Space-group type ... No. 2
Raw total energy ... -40.293 eV for the cell shown



[4]
KLiSbCl6 | GGA-PBE | relaxed

abc: 6.7034 6.7034 13.9693
angles: 90.00 90.00 120.00
Last column: nearest neighbours and their distance in Å.
Atoms (fractional coordinates):
K 0.0000 0.0000 0.0000  6 Cl 3.21
K 0.0000 0.0000 0.5000  6 Cl 3.21
Li 0.3333 0.6667 0.2500  6 Cl 2.60
Li 0.6667 0.3333 0.7500  6 Cl 2.60
Sb 0.3333 0.6667 0.7500  6 Cl 2.55
Sb 0.6667 0.3333 0.2500  6 Cl 2.55
Cl 0.0058 0.3743 0.6451  1 Sb 2.55, 1 Li 2.60
Cl 0.0058 0.6315 0.8549  1 Sb 2.55, 1 Li 2.60
Cl 0.3685 0.3743 0.8549  1 Sb 2.55, 1 Li 2.60
Cl 0.3685 0.9942 0.6451  1 Sb 2.55, 1 Li 2.60
Cl 0.3743 0.0058 0.1451  1 Sb 2.55, 1 Li 2.60
Cl 0.3743 0.3685 0.3549  1 Sb 2.55, 1 Li 2.60
Cl 0.6257 0.6315 0.6451  1 Sb 2.55, 1 Li 2.60
Cl 0.6257 0.9942 0.8549  1 Sb 2.55, 1 Li 2.60
Cl 0.6315 0.0058 0.3549  1 Sb 2.55, 1 Li 2.60
Cl 0.6315 0.6257 0.1451  1 Sb 2.55, 1 Li 2.60
Cl 0.9942 0.3685 0.1451  1 Sb 2.55, 1 Li 2.60
Cl 0.9942 0.6257 0.3549  1 Sb 2.55, 1 Li 2.60

Space-group type ... No. 163
Raw total energy ... -58.950 eV for the cell shown



[5]
K2LiSbCl6 | GGA-PBE | relaxed

abc: 7.2860 7.2881 7.2883
angles: 60.88 60.90 60.90
Last column: nearest neighbours and their distance in Å.
Atoms (fractional coordinates):
K 0.0000 0.0000 0.0000  6 Cl 3.17-3.54
K 0.4889 0.4899 0.4881  3 Cl 3.17
Li 0.2408 0.2414 0.2404  6 Cl 2.61-2.63
Sb 0.7402 0.7407 0.7400  6 Cl 2.67
Cl 0.0637 0.4881 0.9216  1 Li 2.63, 1 Sb 2.67
Cl 0.4165 0.9892 0.5587  1 Li 2.62, 1 Sb 2.67
Cl 0.4870 0.9232 0.0622  1 Li 2.63, 1 Sb 2.67
Cl 0.5588 0.4170 0.9913  1 Li 2.61, 1 Sb 2.67
Cl 0.9219 0.0639 0.4855  1 Li 2.63, 1 Sb 2.67
Cl 0.9900 0.5585 0.4172  1 Li 2.62, 1 Sb 2.67

Space-group type ... No. 1
Raw total energy ... -34.305 eV for the cell shown



[6]
KLiScCl6 | GGA-PBE | relaxed

abc: 6.5334 6.5334 7.1336
angles: 90.00 90.00 120.00
Last column: nearest neighbours and their distance in Å.
Atoms (fractional coordinates):
K 0.0000 0.0000 0.0000  6 Cl 3.19
Li 0.6667 0.3333 0.5000  6 Cl 2.58
Sc 0.3333 0.6667 0.5000  6 Cl 2.50
Cl 0.0096 0.3700 0.7031  1 Sc 2.50, 1 Li 2.58
Cl 0.0096 0.6396 0.2969  1 Sc 2.50, 1 Li 2.58
Cl 0.3604 0.3700 0.2969  1 Sc 2.50, 1 Li 2.58
Cl 0.3604 0.9904 0.7031  1 Sc 2.50, 1 Li 2.58
Cl 0.6300 0.6396 0.7031  1 Sc 2.50, 1 Li 2.58
Cl 0.6300 0.9904 0.2969  1 Sc 2.50, 1 Li 2.58

Space-group type ... No. 149
Raw total energy ... -35.593 eV for the cell shown



[7]
KLiSc2Cl8 | GGA-PBE | relaxed

abc: 6.4374 7.8196 6.6085
angles: 90.00 96.68 90.00
Last column: nearest neighbours and their distance in Å.
Atoms (fractional coordinates):
K 0.0000 0.0000 0.0000  6 Cl 2.92-3.27
Li 0.0000 0.5000 0.0000  4 Cl 2.58
Sc 0.5000 0.2580 0.5000  6 Cl 2.44-2.59
Sc 0.5000 0.7420 0.5000  6 Cl 2.44-2.59
Cl 0.2447 0.2808 0.1971  1 Sc 2.44, 1 Li 2.58
Cl 0.2447 0.7192 0.1971  1 Sc 2.44, 1 Li 2.58
Cl 0.2994 0.5000 0.6527  2 Sc 2.56
Cl 0.3103 0.0000 0.6424  2 Sc 2.59
Cl 0.6897 0.0000 0.3576  2 Sc 2.59
Cl 0.7006 0.5000 0.3473  2 Sc 2.56
Cl 0.7553 0.2808 0.8029  1 Sc 2.44, 1 Li 2.58
Cl 0.7553 0.7192 0.8029  1 Sc 2.44, 1 Li 2.58

Space-group type ... No. 10
Raw total energy ... -54.298 eV for the cell shown



[8]
KLi2ScCl6 | GGA-PBE | relaxed

abc: 7.3508 7.3508 7.3508
angles: 54.77 54.77 54.77
Last column: nearest neighbours and their distance in Å.
Atoms (fractional coordinates):
K 0.0000 0.0000 0.0000  6 Cl 3.02-3.21
Li 0.2786 0.2786 0.2786  3 Cl 2.52
Li 0.7932 0.7932 0.7932  3 Cl 2.45
Sc 0.4809 0.4809 0.4809  6 Cl 2.51-2.52
Cl 0.0792 0.6422 0.4658  1 Li 2.45, 1 Sc 2.51
Cl 0.2370 0.5387 0.8755  1 Sc 2.52, 1 Li 2.52
Cl 0.4658 0.0792 0.6422  1 Li 2.45, 1 Sc 2.51
Cl 0.5387 0.8755 0.2370  1 Sc 2.52, 1 Li 2.52
Cl 0.6422 0.4658 0.0792  1 Li 2.45, 1 Sc 2.51
Cl 0.8755 0.2370 0.5387  1 Sc 2.52, 1 Li 2.52

Space-group type ... No. 146
Raw total energy ... -41.802 eV for the cell shown



[9]
K2LiSeCl6 | GGA-PBE | relaxed

abc: 13.4826 13.4826 13.4826
angles: 30.91 30.91 30.91
Last column: nearest neighbours and their distance in Å.
Atoms (fractional coordinates):
K 0.1102 0.1102 0.1102  3 Cl 3.24
K 0.3104 0.3104 0.3104  9 Cl 3.35-3.70
K 0.6896 0.6896 0.6896  9 Cl 3.35-3.70
K 0.8898 0.8898 0.8898  3 Cl 3.24
Li 0.4135 0.4135 0.4135  6 Cl 2.45-2.72
Li 0.5865 0.5865 0.5865  6 Cl 2.45-2.72
Se 0.0000 0.0000 0.0000  6 Cl 2.74
Se 0.5000 0.5000 0.5000  6 Cl 2.43
Cl 0.1481 0.6199 0.6199  1 Se 2.43
Cl 0.2139 0.2139 0.7095  1 Li 2.45, 1 Se 2.74
Cl 0.2139 0.7095 0.2139  1 Li 2.45, 1 Se 2.74
Cl 0.2905 0.7861 0.7861  1 Li 2.45, 1 Se 2.74
Cl 0.3801 0.3801 0.8519  1 Se 2.43
Cl 0.3801 0.8519 0.3801  1 Se 2.43
Cl 0.6199 0.1481 0.6199  1 Se 2.43
Cl 0.6199 0.6199 0.1481  1 Se 2.43
Cl 0.7095 0.2139 0.2139  1 Li 2.45, 1 Se 2.74
Cl 0.7861 0.2905 0.7861  1 Li 2.45, 1 Se 2.74
Cl 0.7861 0.7861 0.2905  1 Li 2.45, 1 Se 2.74
Cl 0.8519 0.3801 0.3801  1 Se 2.43

Space-group type ... No. 166
Raw total energy ... -60.446 eV for the cell shown



[10]
KLi2SmCl6 | GGA-PBE | relaxed

abc: 7.4558 7.4558 7.4558
angles: 55.40 55.40 55.40
Last column: nearest neighbours and their distance in Å.
Atoms (fractional coordinates):
K 0.0000 0.0000 0.0000  6 Cl 3.06-3.22
Li 0.2149 0.2149 0.2149  3 Cl 2.48
Li 0.7220 0.7220 0.7220  3 Cl 2.55
Sm 0.5178 0.5178 0.5178  6 Cl 2.72-2.73
Cl 0.1002 0.4587 0.8048  1 Li 2.55, 1 Sm 2.72
Cl 0.3720 0.9388 0.5347  1 Li 2.48, 1 Sm 2.73
Cl 0.4587 0.8048 0.1002  1 Li 2.55, 1 Sm 2.72
Cl 0.5347 0.3720 0.9388  1 Li 2.48, 1 Sm 2.73
Cl 0.8048 0.1002 0.4587  1 Li 2.55, 1 Sm 2.72
Cl 0.9388 0.5347 0.3720  1 Li 2.48, 1 Sm 2.73

Space-group type ... No. 146
Raw total energy ... -40.871 eV for the cell shown



Number 1 is which compound?
KLi2SCl